(1)
# Er8Tm2Sc3

A geometry-optimized Er8Tm2Sc3 structure (PBE, Alexandria).

Cell: 8.5367 8.5367 5.9268 Å, 108.83 108.83 80.59°
Fractional coordinates of all 13 atoms:
Er (0.0916, 0.0916, 0.2742)
Er (0.1107, 0.5742, 0.8492)
Er (0.3645, 0.3645, 0.3844)
Er (0.4258, 0.8893, 0.1508)
Er (0.5742, 0.1107, 0.8492)
Er (0.6355, 0.6355, 0.6156)
Er (0.8893, 0.4258, 0.1508)
Er (0.9084, 0.9084, 0.7258)
Tm (0.1785, 0.1785, 0.8416)
Tm (0.8215, 0.8215, 0.1584)
Sc (0.2303, 0.7697, 0.5000)
Sc (0.5000, 0.5000, 0.0000)
Sc (0.7697, 0.2303, 0.5000)

ΔE to the lowest computed polymorph	0	meV per atom
energy of formation	195	meV/atom
spin magnetization	0.000	μB/atom
calculated volume	29.70	Å³ per atom

***

(2)
# CsCa2HgPd

A geometry-optimized CsCa2HgPd structure (PBE, Alexandria).

Cell: 5.6622 5.6622 5.6318 Å, 90.00 90.00 90.00°
Fractional coordinates of all 5 atoms:
Cs (0.0000, 0.0000, 0.0000)
Ca (0.0000, 0.5000, 0.5000)
Ca (0.5000, 0.0000, 0.5000)
Hg (0.5000, 0.5000, 0.0000)
Pd (0.5000, 0.5000, 0.5000)

energy of formation	-218	meV/atom
spin magnetization	0.000	μB/atom
calculated volume	36.11	Å³ per atom

***

(3)
# NaNd3Al8

A geometry-optimized NaNd3Al8 structure (PBE, Alexandria).

Cell: 9.8201 9.8201 9.8201 Å, 33.52 33.52 33.52°
Fractional coordinates of all 12 atoms:
Na (0.0000, 0.0000, 0.0000)
Nd (0.3713, 0.3713, 0.3713)
Nd (0.4993, 0.4993, 0.4993)
Nd (0.8783, 0.8783, 0.8783)
Al (0.1867, 0.1867, 0.1867)
Al (0.4361, 0.4361, 0.9339)
Al (0.4361, 0.9339, 0.4361)
Al (0.4389, 0.9363, 0.9363)
Al (0.6866, 0.6866, 0.6866)
Al (0.9339, 0.4361, 0.4361)
Al (0.9363, 0.4389, 0.9363)
Al (0.9363, 0.9363, 0.4389)

energy of formation	-367	meV/atom
spin magnetization	0.000	μB/atom
calculated volume	21.43	Å³ per atom

***

(4)
# Ti2Be2Bi

A geometry-optimized Ti2Be2Bi structure (PBE, Alexandria).

Cell: 6.3947 6.3947 3.6901 Å, 90.00 90.00 90.00°
Fractional coordinates of all 10 atoms:
Ti (0.1684, 0.3316, 0.0000)
Ti (0.3316, 0.8316, 0.0000)
Ti (0.6684, 0.1684, 0.0000)
Ti (0.8316, 0.6684, 0.0000)
Be (0.1109, 0.6109, 0.5000)
Be (0.3891, 0.1109, 0.5000)
Be (0.6109, 0.8891, 0.5000)
Be (0.8891, 0.3891, 0.5000)
Bi (0.0000, 0.0000, 0.5000)
Bi (0.5000, 0.5000, 0.5000)

energy of formation	-8	meV/atom
spin magnetization	0.000	μB/atom
calculated volume	15.09	Å³ per atom